a:
The following is a PBE-GGA calculation of an optimized crystal structure of BaHf3Au, from Alexandria via LeMat-Bulk.

POSCAR file:
```
BaHf3Au
1.0
5.2282 0.0000 0.0000
0.0000 5.2282 0.0000
0.0000 0.0000 5.2282
Ba Hf Au
1 3 1
Direct
0.0000 0.0000 0.0000 Ba
0.0000 0.0000 0.5000 Hf
0.0000 0.5000 0.0000 Hf
0.5000 0.0000 0.0000 Hf
0.5000 0.5000 0.5000 Au
```

Values from the calculation:
**SG**: No. 221
**N(E_F)**: 9.34 states/eV/cell

=====

b:
The following is a PBE-GGA calculation of an optimized crystal structure of BaHf3Au, from Alexandria via LeMat-Bulk.

POSCAR file:
```
BaHf3Au
1.0
5.2968 0.0000 0.0000
0.0000 5.2968 0.0000
0.0000 0.0000 5.2968
Ba Hf Au
1 3 1
Direct
0.0000 0.0000 0.0000 Ba
0.0000 0.5000 0.5000 Hf
0.5000 0.0000 0.5000 Hf
0.5000 0.5000 0.0000 Hf
0.5000 0.5000 0.5000 Au
```

Values from the calculation:
**SG**: No. 221
**N(E_F)**: 10.43 states/eV/cell

=====

Which of them is the most stable, and which is the least stable? b and a, in that order.

=====

a:
The following is a PBE-GGA calculation of an optimized crystal structure of BaHgAu3, from Alexandria via LeMat-Bulk.

POSCAR file:
```
BaHgAu3
1.0
6.2053 0.0000 0.0000
0.0000 6.2053 0.0000
0.0000 0.0000 6.2053
Ba Hg Au
1 1 3
Direct
0.0000 0.0000 0.0000 Ba
0.5000 0.5000 0.5000 Hg
0.0000 0.0000 0.5000 Au
0.0000 0.5000 0.0000 Au
0.5000 0.0000 0.0000 Au
```

Values from the calculation:
**SG**: No. 221
**N(E_F)**: 8.44 states/eV/cell

=====

b:
The following is a PBE-GGA calculation of an optimized crystal structure of BaHgAu3, from Alexandria via LeMat-Bulk.

POSCAR file:
```
BaHgAu3
1.0
6.7207 0.0000 0.0000
0.0000 8.3910 0.0000
0.0000 0.0000 5.3658
Ba Hg Au
2 2 6
Direct
0.0000 0.0000 0.0000 Ba
0.5000 0.5000 0.0000 Ba
0.0000 0.5000 0.5000 Hg
0.5000 0.0000 0.5000 Hg
0.0000 0.5000 0.0000 Au
0.2105 0.2241 0.5000 Au
0.2895 0.7241 0.5000 Au
0.5000 0.0000 0.0000 Au
0.7105 0.2759 0.5000 Au
0.7895 0.7759 0.5000 Au
```

Values from the calculation:
**SG**: No. 55
**N(E_F)**: 2.93 states/eV/cell

=====

c:
The following is a PBE-GGA calculation of an optimized crystal structure of BaHgAu3, from Alexandria via LeMat-Bulk.

POSCAR file:
```
BaHgAu3
1.0
5.3351 0.0000 0.0000
0.0000 5.3351 0.0000
0.0000 0.0000 5.3351
Ba Hg Au
1 1 3
Direct
0.0000 0.0000 0.0000 Ba
0.5000 0.5000 0.5000 Hg
0.0000 0.5000 0.5000 Au
0.5000 0.0000 0.5000 Au
0.5000 0.5000 0.0000 Au
```

Values from the calculation:
**SG**: No. 221
**N(E_F)**: 1.96 states/eV/cell

=====

d:
The following is a PBE-GGA calculation of an optimized crystal structure of BaHgAu3, from Alexandria via LeMat-Bulk.

POSCAR file:
```
BaHgAu3
1.0
5.9299 0.0000 0.0000
0.0000 6.7236 0.0000
-4.4061 0.0000 6.5869
Ba Hg Au
2 2 6
Direct
0.0000 0.2346 0.2500 Ba
0.0000 0.7654 0.7500 Ba
0.5000 0.4635 0.7500 Hg
0.5000 0.5365 0.2500 Hg
0.2524 0.2476 0.9298 Au
0.2524 0.7524 0.4298 Au
0.5000 0.0323 0.7500 Au
0.5000 0.9677 0.2500 Au
0.7476 0.2476 0.5702 Au
0.7476 0.7524 0.0702 Au
```

Values from the calculation:
**SG**: No. 13
**N(E_F)**: 3.04 states/eV/cell

=====

Which of them is the most stable, and which is the least stable? d and a, in that order.

=====

a:
The following is a PBE-GGA calculation of an optimized crystal structure of BaHg3Au3, from Alexandria via LeMat-Bulk.

POSCAR file:
```
BaHg3Au3
1.0
7.7489 0.0000 0.0000
0.0000 7.7489 0.0000
0.0000 0.0000 7.7489
Ba Hg Au
2 6 6
Direct
0.0000 0.0000 0.0000 Ba
0.5000 0.5000 0.5000 Ba
0.0000 0.2500 0.5000 Hg
0.0000 0.7500 0.5000 Hg
0.2500 0.5000 0.0000 Hg
0.5000 0.0000 0.2500 Hg
0.5000 0.0000 0.7500 Hg
0.7500 0.5000 0.0000 Hg
0.0000 0.5000 0.2500 Au
0.0000 0.5000 0.7500 Au
0.2500 0.0000 0.5000 Au
0.5000 0.2500 0.0000 Au
0.5000 0.7500 0.0000 Au
0.7500 0.0000 0.5000 Au
```

Values from the calculation:
**SG**: No. 223
**N(E_F)**: 4.73 states/eV/cell

=====

b:
The following is a PBE-GGA calculation of an optimized crystal structure of BaHg3Au3, from Alexandria via LeMat-Bulk.

POSCAR file:
```
BaHg3Au3
1.0
3.8804 2.2404 7.5207
-3.8804 2.2404 7.5207
0.0000 -4.4807 7.5207
Ba Hg Au
2 6 6
Direct
0.1871 0.1871 0.1871 Ba
0.8129 0.8129 0.8129 Ba
0.1482 0.4452 0.5978 Hg
0.4022 0.8518 0.5548 Hg
0.4452 0.5978 0.1482 Hg
0.5548 0.4022 0.8518 Hg
0.5978 0.1482 0.4452 Hg
0.8518 0.5548 0.4022 Hg
0.0145 0.8623 0.3016 Au
0.1377 0.6984 0.9855 Au
0.3016 0.0145 0.8623 Au
0.6984 0.9855 0.1377 Au
0.8623 0.3016 0.0145 Au
0.9855 0.1377 0.6984 Au
```

Values from the calculation:
**SG**: No. 148
**N(E_F)**: 5.48 states/eV/cell

=====

c:
The following is a PBE-GGA calculation of an optimized crystal structure of BaHg3Au3, from Alexandria via LeMat-Bulk.

POSCAR file:
```
BaHg3Au3
1.0
7.4774 0.0000 0.0000
0.0000 5.0007 0.0000
-2.8519 0.0000 9.5890
Ba Hg Au
2 6 6
Direct
0.1421 0.2500 0.2853 Ba
0.8579 0.7500 0.7147 Ba
0.1465 0.2500 0.9130 Hg
0.4563 0.7500 0.8613 Hg
0.4985 0.7500 0.3572 Hg
0.5015 0.2500 0.6428 Hg
0.5437 0.2500 0.1387 Hg
0.8535 0.7500 0.0870 Hg
0.1037 0.2500 0.6156 Au
0.2579 0.7500 0.0721 Au
0.2692 0.7500 0.5586 Au
0.7308 0.2500 0.4414 Au
0.7421 0.2500 0.9279 Au
0.8963 0.7500 0.3844 Au
```

Values from the calculation:
**SG**: No. 11
**N(E_F)**: 2.25 states/eV/cell

=====

Which of them is the most stable, and which is the least stable? c and a, in that order.

=====

a:
The following is a PBE-GGA calculation of an optimized crystal structure of BaHgAu4, from Alexandria via LeMat-Bulk.

POSCAR file:
```
BaHgAu4
1.0
0.0000 4.1092 4.1092
4.1092 0.0000 4.1092
4.1092 4.1092 0.0000
Ba Hg Au
1 1 4
Direct
0.0000 0.0000 0.0000 Ba
0.2500 0.2500 0.2500 Hg
0.1273 0.6242 0.6242 Au
0.6242 0.1273 0.6242 Au
0.6242 0.6242 0.1273 Au
0.6242 0.6242 0.6242 Au
```

Values from the calculation:
**SG**: No. 216
**N(E_F)**: 6.57 states/eV/cell

=====

b:
The following is a PBE-GGA calculation of an optimized crystal structure of BaHgAu4, from Alexandria via LeMat-Bulk.

POSCAR file:
```
BaHgAu4
1.0
-6.1713 6.1713 4.0434
6.1713 -6.1713 4.0434
6.1713 6.1713 -4.0434
Ba Hg Au
4 4 16
Direct
0.2252 0.2252 0.0000 Ba
0.2500 0.7500 0.5000 Ba
0.7500 0.2500 0.5000 Ba
0.7748 0.7748 0.0000 Ba
0.2276 0.5000 0.7276 Hg
0.5000 0.2276 0.7276 Hg
0.5000 0.7724 0.2724 Hg
0.7724 0.5000 0.2724 Hg
0.1090 0.2711 0.3801 Au
0.1090 0.7289 0.8379 Au
0.1439 0.1439 0.6424 Au
0.1439 0.5015 0.0000 Au
0.2711 0.1090 0.3801 Au
0.2711 0.8910 0.1621 Au
0.4985 0.4985 0.6424 Au
0.4985 0.8561 0.0000 Au
0.5015 0.1439 0.0000 Au
0.5015 0.5015 0.3576 Au
0.7289 0.1090 0.8379 Au
0.7289 0.8910 0.6199 Au
0.8561 0.4985 0.0000 Au
0.8561 0.8561 0.3576 Au
0.8910 0.2711 0.1621 Au
0.8910 0.7289 0.6199 Au
```

Values from the calculation:
**SG**: No. 139
**N(E_F)**: 9.36 states/eV/cell

=====

Which of them is the most stable, and which is the least stable? a and b, in that order.

=====

a:
The following is a PBE-GGA calculation of an optimized crystal structure of Ba8Hg2Au, from Alexandria via LeMat-Bulk.

POSCAR file:
```
Ba8Hg2Au
1.0
10.7147 -2.9570 0.0000
10.7147 2.9570 0.0000
-2.1245 0.0000 7.9079
Ba Hg Au
8 2 1
Direct
0.0346 0.0346 0.3033 Ba
0.2116 0.2116 0.8211 Ba
0.3386 0.3386 0.5294 Ba
0.4093 0.4093 0.0735 Ba
0.5907 0.5907 0.9265 Ba
0.6614 0.6614 0.4706 Ba
0.7884 0.7884 0.1789 Ba
0.9654 0.9654 0.6967 Ba
0.1873 0.1873 0.2232 Hg
0.8127 0.8127 0.7768 Hg
0.5000 0.5000 0.5000 Au
```

Values from the calculation:
**SG**: No. 12
**N(E_F)**: 13.99 states/eV/cell

=====

b:
The following is a PBE-GGA calculation of an optimized crystal structure of Ba8Hg2Au, from Alexandria via LeMat-Bulk.

POSCAR file:
```
Ba8Hg2Au
1.0
7.3284 -5.2572 0.0000
7.3284 5.2572 0.0000
-2.5544 0.0000 7.6716
Ba Hg Au
8 2 1
Direct
0.0757 0.0757 0.2755 Ba
0.1435 0.5590 0.2596 Ba
0.3701 0.3701 0.7624 Ba
0.4410 0.8565 0.7404 Ba
0.5590 0.1435 0.2596 Ba
0.6299 0.6299 0.2376 Ba
0.8565 0.4410 0.7404 Ba
0.9243 0.9243 0.7245 Ba
0.1836 0.1836 0.9529 Hg
0.8164 0.8164 0.0471 Hg
0.5000 0.5000 0.5000 Au
```

Values from the calculation:
**SG**: No. 12
**N(E_F)**: 14.47 states/eV/cell

=====

Which of them is the most stable, and which is the least stable? a and b, in that order.

=====

a:
The following is a PBE-GGA calculation of an optimized crystal structure of Ba3HgAu3, from Alexandria via LeMat-Bulk.

POSCAR file:
```
Ba3HgAu3
1.0
6.2533 -2.3674 0.0000
6.2533 2.3674 0.0000
-5.6971 0.0000 15.7044
Ba Hg Au
6 2 6
Direct
0.0406 0.0406 0.3896 Ba
0.1020 0.1020 0.9234 Ba
0.2417 0.2417 0.2300 Ba
0.7583 0.7583 0.7700 Ba
0.8980 0.8980 0.0766 Ba
0.9594 0.9594 0.6104 Ba
0.2562 0.2562 0.6077 Hg
0.7438 0.7438 0.3923 Hg
0.3794 0.3794 0.4534 Au
0.3879 0.3879 0.9225 Au
0.4727 0.4727 0.7704 Au
0.5273 0.5273 0.2296 Au
0.6121 0.6121 0.0775 Au
0.6206 0.6206 0.5466 Au
```

Values from the calculation:
**SG**: No. 12
**N(E_F)**: 9.50 states/eV/cell

=====

b:
The following is a PBE-GGA calculation of an optimized crystal structure of Ba3HgAu3, from Alexandria via LeMat-Bulk.

POSCAR file:
```
Ba3HgAu3
1.0
9.8606 0.0000 0.0000
-4.9303 8.5395 0.0000
0.0000 0.0000 6.6253
Ba Hg Au
6 2 6
Direct
0.0475 0.6909 0.2500 Ba
0.3091 0.3566 0.2500 Ba
0.3566 0.0475 0.7500 Ba
0.6434 0.9525 0.2500 Ba
0.6909 0.6434 0.7500 Ba
0.9525 0.3091 0.7500 Ba
0.3333 0.6667 0.7500 Hg
0.6667 0.3333 0.2500 Hg
0.0446 0.6838 0.7500 Au
0.3162 0.3608 0.7500 Au
0.3608 0.0446 0.2500 Au
0.6392 0.9554 0.7500 Au
0.6838 0.6392 0.2500 Au
0.9554 0.3162 0.2500 Au
```

Values from the calculation:
**SG**: No. 176
**N(E_F)**: 7.54 states/eV/cell

=====

Which of them is the most stable, and which is the least stable? a and b, in that order.

=====

a:
The following is a PBE-GGA calculation of an optimized crystal structure of BaHg4Au, from Alexandria via LeMat-Bulk.

POSCAR file:
```
BaHg4Au
1.0
2.4475 -8.7857 0.0000
2.4475 8.7857 0.0000
0.0000 0.0000 7.9422
Ba Hg Au
2 8 2
Direct
0.1323 0.8677 0.7500 Ba
0.8677 0.1323 0.2500 Ba
0.0616 0.9384 0.2500 Hg
0.3248 0.6752 0.5566 Hg
0.3248 0.6752 0.9434 Hg
0.5000 0.5000 0.0000 Hg
0.5000 0.5000 0.5000 Hg
0.6752 0.3248 0.0566 Hg
0.6752 0.3248 0.4434 Hg
0.9384 0.0616 0.7500 Hg
0.2287 0.7713 0.2500 Au
0.7713 0.2287 0.7500 Au
```

Values from the calculation:
**SG**: No. 63
**N(E_F)**: 6.29 states/eV/cell

=====

b:
The following is a PBE-GGA calculation of an optimized crystal structure of BaHg4Au, from Alexandria via LeMat-Bulk.

POSCAR file:
```
BaHg4Au
1.0
0.0000 4.3966 4.3966
4.3966 0.0000 4.3966
4.3966 4.3966 0.0000
Ba Hg Au
1 4 1
Direct
0.0000 0.0000 0.0000 Ba
0.1283 0.6239 0.6239 Hg
0.6239 0.1283 0.6239 Hg
0.6239 0.6239 0.1283 Hg
0.6239 0.6239 0.6239 Hg
0.2500 0.2500 0.2500 Au
```

Values from the calculation:
**SG**: No. 216
**N(E_F)**: 3.43 states/eV/cell

=====

Which of them is the most stable, and which is the least stable? a and b, in that order.

=====

a:
The following is a PBE-GGA calculation of an optimized crystal structure of Ba3HgAu2, from Alexandria via LeMat-Bulk.

POSCAR file:
```
Ba3HgAu2
1.0
4.0627 0.0000 0.0000
0.0000 4.0627 0.0000
0.0000 0.0000 12.4653
Ba Hg Au
3 1 2
Direct
0.0000 0.0000 0.0000 Ba
0.0000 0.0000 0.3217 Ba
0.0000 0.0000 0.6783 Ba
0.5000 0.5000 0.5000 Hg
0.5000 0.5000 0.1639 Au
0.5000 0.5000 0.8361 Au
```

Values from the calculation:
**SG**: No. 123
**N(E_F)**: 5.01 states/eV/cell

=====

b:
The following is a PBE-GGA calculation of an optimized crystal structure of Ba3HgAu2, from Alexandria via LeMat-Bulk.

POSCAR file:
```
Ba3HgAu2
1.0
2.9050 -8.7006 0.0000
2.9050 8.7006 0.0000
0.0000 0.0000 4.0625
Ba Hg Au
3 1 2
Direct
0.0000 0.0000 0.0000 Ba
0.3275 0.6725 0.0000 Ba
0.6725 0.3275 0.0000 Ba
0.5000 0.5000 0.5000 Hg
0.1627 0.8373 0.5000 Au
0.8373 0.1627 0.5000 Au
```

Values from the calculation:
**SG**: No. 65
**N(E_F)**: 5.31 states/eV/cell

=====

Which of them is the most stable, and which is the least stable? a and b, in that order.